No. 1
## Ca2CdNi2 (GGA-PBE)

Data for crystalline Ca2CdNi2 at its relaxed geometry.

SG	I4/mmm
DFT formation energy	0.0028	eV/atom

a b c (Å): 5.4869 5.4869 5.4155
angles (deg): 59.56 59.56 90.00
Element x y z (fractional)
1 Ni 0.3475 0.3475 0.3050
2 Ni 0.6525 0.6525 0.6950
3 Ca 0.7500 0.2500 0.5000
4 Ca 0.2500 0.7500 0.5000
5 Cd 0.0000 0.0000 0.0000

No. 2
## CaCdNi2 (GGA-PBE)

Data for crystalline CaCdNi2 at its relaxed geometry.

SG	Cmmm
DFT formation energy	0.0444	eV/atom

a b c (Å): 7.1615 4.3905 3.5441
angles (deg): 90.02 60.31 128.00
Element x y z (fractional)
1 Ni 0.0000 0.0000 0.0000
2 Ni 0.5000 0.0000 0.5000
3 Ca 0.0000 0.5000 0.5000
4 Cd 0.5000 0.5000 0.0000

No. 3
## Ca2CdNi (GGA-PBE)

Data for crystalline Ca2CdNi at its relaxed geometry.

SG	C2/m
DFT formation energy	-0.0891	eV/atom

a b c (Å): 5.0841 8.0934 3.7602
angles (deg): 62.06 90.18 128.51
Element x y z (fractional)
1 Ni 0.5000 0.0000 0.5000
2 Ca 0.0000 0.0000 0.0000
3 Ca 0.0000 0.5000 0.5000
4 Cd 0.5000 0.5000 0.0000

No. 4
## CaCdNi5 (GGA-PBE)

Data for crystalline CaCdNi5 at its relaxed geometry.

SG	Pnma
DFT formation energy	-0.0873	eV/atom

a b c (Å): 4.8806 8.1028 10.3460
angles (deg): 90.00 90.00 90.00
Element x y z (fractional)
1 Ca 0.2500 0.2442 0.9388
2 Ca 0.7500 0.2558 0.4388
3 Ca 0.2500 0.7442 0.5612
4 Ca 0.7500 0.7558 0.0612
5 Cd 0.2500 0.8647 0.8638
6 Cd 0.7500 0.6353 0.3638
7 Cd 0.2500 0.3647 0.6362
8 Cd 0.7500 0.1353 0.1362
9 Ni 0.2500 0.5821 0.0171
10 Ni 0.7500 0.9179 0.5171
11 Ni 0.2500 0.0821 0.4829
12 Ni 0.7500 0.4179 0.9829
13 Ni 0.7500 0.3121 0.7587
14 Ni 0.2500 0.1879 0.2587
15 Ni 0.7500 0.8121 0.7413
16 Ni 0.2500 0.6879 0.2413
17 Ni 0.2500 0.9490 0.1136
18 Ni 0.7500 0.5510 0.6136
19 Ni 0.2500 0.4490 0.3864
20 Ni 0.7500 0.0510 0.8864
21 Ni 0.0004 0.4332 0.1844
22 Ni 0.9996 0.0668 0.6844
23 Ni 0.4996 0.9332 0.3156
24 Ni 0.5004 0.5668 0.8156
25 Ni 0.9996 0.5668 0.8156
26 Ni 0.0004 0.9332 0.3156
27 Ni 0.5004 0.0668 0.6844
28 Ni 0.4996 0.4332 0.1844

What did the second record say?
## CaCdNi2 (GGA-PBE)

Data for crystalline CaCdNi2 at its relaxed geometry.

SG	Cmmm
DFT formation energy	0.0444	eV/atom

a b c (Å): 7.1615 4.3905 3.5441
angles (deg): 90.02 60.31 128.00
Element x y z (fractional)
1 Ni 0.0000 0.0000 0.0000
2 Ni 0.5000 0.0000 0.5000
3 Ca 0.0000 0.5000 0.5000
4 Cd 0.5000 0.5000 0.0000

The lowest DFT formation energy belongs to which entry?
Ca2CdNi

What did the second record say?
## CaCdNi2 (GGA-PBE)

Data for crystalline CaCdNi2 at its relaxed geometry.

SG	Cmmm
DFT formation energy	0.0444	eV/atom

a b c (Å): 7.1615 4.3905 3.5441
angles (deg): 90.02 60.31 128.00
Element x y z (fractional)
1 Ni 0.0000 0.0000 0.0000
2 Ni 0.5000 0.0000 0.5000
3 Ca 0.0000 0.5000 0.5000
4 Cd 0.5000 0.5000 0.0000

What is the DFT formation energy in the first record?
0.0028 eV/atom